1.
Here is Dy4MgZn2Au after structural relaxation from the Alexandria database. Energies are from PBE.

a b c (Å): 8.8949 8.8949 8.8949
angles (deg): 33.48 33.48 33.48
Last column: nearest neighbours and their distance in Å.
Atoms (fractional coordinates):
1 Dy 0.1194 0.1194 0.1194  1 Au 3.00, 4 Zn 3.03, 3 Mg 3.19
2 Dy 0.3713 0.3713 0.3713  3 Au 3.11, 1 Mg 3.24, 4 Zn 3.27-3.31
3 Dy 0.6287 0.6287 0.6287  3 Au 3.11, 1 Mg 3.24, 4 Zn 3.27-3.31
4 Dy 0.8806 0.8806 0.8806  1 Au 3.00, 4 Zn 3.03, 3 Mg 3.19
5 Mg 0.5000 0.5000 0.5000  8 Dy 3.19-3.24, 6 Zn 3.49
6 Zn 0.2399 0.2399 0.2399  8 Dy 3.03-3.31
7 Zn 0.7601 0.7601 0.7601  8 Dy 3.03-3.31
8 Au 0.0000 0.0000 0.0000  8 Dy 3.00-3.11

Calculated values
- V (Å³/cell) = 190.71
- SG = R-3m
- total magnetization (μB per atom) = 0.000
- ΔE_f (eV/atom) = -0.4104


2.
Here is DyMgZn2Au4 after structural relaxation from the Alexandria database. Energies are from PBE.

a b c (Å): 8.5490 8.5490 8.5490
angles (deg): 31.25 31.25 31.25
Last column: nearest neighbours and their distance in Å.
Atoms (fractional coordinates):
1 Dy 0.0000 0.0000 0.0000  8 Au 2.99-3.11
2 Mg 0.5000 0.5000 0.5000  8 Au 2.71-2.83
3 Zn 0.2479 0.2479 0.2479  7 Au 2.76-2.94
4 Zn 0.7521 0.7521 0.7521  7 Au 2.76-2.94
5 Au 0.1275 0.1275 0.1275  3 Mg 2.83, 4 Zn 2.85-2.94, 1 Dy 3.11
6 Au 0.3890 0.3890 0.3890  1 Mg 2.71, 3 Zn 2.76, 3 Dy 2.99
7 Au 0.6110 0.6110 0.6110  1 Mg 2.71, 3 Zn 2.76, 3 Dy 2.99
8 Au 0.8725 0.8725 0.8725  3 Mg 2.83, 4 Zn 2.85-2.94, 1 Dy 3.11

Calculated values
- V (Å³/cell) = 149.23
- SG = R-3m
- total magnetization (μB per atom) = 0.000
- ΔE_f (eV/atom) = -0.5262


3.
Here is DyMgZnAu after structural relaxation from the Alexandria database. Energies are from PBE.

a b c (Å): 4.8640 4.8640 4.8640
angles (deg): 60.00 60.00 60.00
Last column: nearest neighbours and their distance in Å.
Atoms (fractional coordinates):
1 Dy 0.0000 0.0000 0.0000  4 Au 2.98, 4 Zn 2.98
2 Mg 0.5000 0.5000 0.5000  4 Zn 2.98, 4 Au 2.98
3 Zn 0.2500 0.2500 0.2500  4 Dy 2.98, 4 Mg 2.98
4 Au 0.7500 0.7500 0.7500  4 Dy 2.98, 4 Mg 2.98

Calculated values
- V (Å³/cell) = 81.37
- SG = F-43m
- total magnetization (μB per atom) = 0.000
- ΔE_f (eV/atom) = -0.5697


4.
Here is TbDyMnAu after structural relaxation from the Alexandria database. Energies are from PBE.

a b c (Å): 5.0712 5.0712 5.0712
angles (deg): 60.00 60.00 60.00
Last column: nearest neighbours and their distance in Å.
Atoms (fractional coordinates):
1 Tb 0.0000 0.0000 0.0000  4 Mn 3.11, 4 Au 3.11
2 Dy 0.5000 0.5000 0.5000  4 Mn 3.11, 4 Au 3.11
3 Mn 0.7500 0.7500 0.7500  4 Dy 3.11, 4 Tb 3.11
4 Au 0.2500 0.2500 0.2500  4 Tb 3.11, 4 Dy 3.11

Calculated values
- V (Å³/cell) = 92.22
- SG = F-43m
- total magnetization (μB per atom) = 0.857
- ΔE_f (eV/atom) = -0.2519


5.
Here is DyYMnAu after structural relaxation from the Alexandria database. Energies are from PBE.

a b c (Å): 5.0699 5.0699 5.0699
angles (deg): 60.00 60.00 60.00
Last column: nearest neighbours and their distance in Å.
Atoms (fractional coordinates):
1 Dy 0.0000 0.0000 0.0000  4 Mn 3.10, 4 Au 3.10
2 Y 0.5000 0.5000 0.5000  4 Mn 3.10, 4 Au 3.10
3 Mn 0.7500 0.7500 0.7500  4 Dy 3.10, 4 Y 3.10
4 Au 0.2500 0.2500 0.2500  4 Y 3.10, 4 Dy 3.10

Calculated values
- V (Å³/cell) = 92.15
- SG = F-43m
- total magnetization (μB per atom) = 0.862
- ΔE_f (eV/atom) = -0.2546


6.
Here is Dy3AuN after structural relaxation from the Alexandria database. Energies are from PBE.

a b c (Å): 4.7536 4.7536 4.7536
angles (deg): 90.00 90.00 90.00
Last column: nearest neighbours and their distance in Å.
Atoms (fractional coordinates):
1 Dy 0.0000 0.0000 0.5000  2 N 2.38
2 Dy 0.0000 0.5000 0.0000  2 N 2.38
3 Dy 0.5000 0.0000 0.0000  2 N 2.38
4 Au 0.5000 0.5000 0.5000  12 Dy 3.36
5 N 0.0000 0.0000 0.0000  6 Dy 2.38

Calculated values
- E_form (uncorrected) (eV/atom) = -0.965
- V (Å³/cell) = 107.42
- SG = Pm-3m
- total magnetization (μB per atom) = 0.000


7.
Here is Dy12Au3N5 after structural relaxation from the Alexandria database. Energies are from PBE.

a b c (Å): 13.3284 13.3284 13.3284
angles (deg): 109.47 109.47 109.47
Last column: nearest neighbours and their distance in Å.
Atoms (fractional coordinates):
1 Dy 0.0176 0.2017 0.1150  2 N 2.23-2.49
2 Dy 0.0176 0.3159 0.9026  2 N 2.23-2.49
3 Dy 0.0867 0.7017 0.6841  2 N 2.23-2.49
4 Dy 0.0867 0.8850 0.4026  2 N 2.23-2.49
5 Dy 0.0974 0.6150 0.4133  2 N 2.23-2.49
6 Dy 0.0974 0.9824 0.6841  2 N 2.23-2.49
7 Dy 0.1150 0.0176 0.2017  2 N 2.23-2.49
8 Dy 0.1150 0.5974 0.9133  2 N 2.23-2.49
9 Dy 0.1841 0.2017 0.5867  2 N 2.23-2.49
10 Dy 0.1841 0.4824 0.5974  2 N 2.23-2.49
11 Dy 0.2017 0.1150 0.0176  2 N 2.23-2.49
12 Dy 0.2017 0.5867 0.1841  2 N 2.23-2.49
13 Dy 0.2983 0.3159 0.9133  2 N 2.23-2.49
14 Dy 0.2983 0.4824 0.3850  2 N 2.23-2.49
15 Dy 0.3159 0.9026 0.0176  2 N 2.23-2.49
16 Dy 0.3159 0.9133 0.2983  2 N 2.23-2.49
17 Dy 0.3850 0.2983 0.4824  2 N 2.23-2.49
18 Dy 0.3850 0.5867 0.9026  2 N 2.23-2.49
19 Dy 0.4026 0.0867 0.8850  2 N 2.23-2.49
20 Dy 0.4026 0.8159 0.5176  2 N 2.23-2.49
21 Dy 0.4133 0.0974 0.6150  2 N 2.23-2.49
22 Dy 0.4133 0.8159 0.7983  2 N 2.23-2.49
23 Dy 0.4824 0.3850 0.2983  2 N 2.23-2.49
24 Dy 0.4824 0.5974 0.1841  2 N 2.23-2.49
25 Dy 0.5176 0.4026 0.8159  2 N 2.23-2.49
26 Dy 0.5176 0.6150 0.7017  2 N 2.23-2.49
27 Dy 0.5867 0.1841 0.2017  2 N 2.23-2.49
28 Dy 0.5867 0.9026 0.3850  2 N 2.23-2.49
29 Dy 0.5974 0.1841 0.4824  2 N 2.23-2.49
30 Dy 0.5974 0.9133 0.1150  2 N 2.23-2.49
31 Dy 0.6150 0.4133 0.0974  2 N 2.23-2.49
32 Dy 0.6150 0.7017 0.5176  2 N 2.23-2.49
33 Dy 0.6841 0.0867 0.7017  2 N 2.23-2.49
34 Dy 0.6841 0.0974 0.9824  2 N 2.23-2.49
35 Dy 0.7017 0.5176 0.6150  2 N 2.23-2.49
36 Dy 0.7017 0.6841 0.0867  2 N 2.23-2.49
37 Dy 0.7983 0.4133 0.8159  2 N 2.23-2.49
38 Dy 0.7983 0.8850 0.9824  2 N 2.23-2.49
39 Dy 0.8159 0.5176 0.4026  2 N 2.23-2.49
40 Dy 0.8159 0.7983 0.4133  2 N 2.23-2.49
41 Dy 0.8850 0.4026 0.0867  2 N 2.23-2.49
42 Dy 0.8850 0.9824 0.7983  2 N 2.23-2.49
43 Dy 0.9026 0.0176 0.3159  2 N 2.23-2.49
44 Dy 0.9026 0.3850 0.5867  2 N 2.23-2.49
45 Dy 0.9133 0.1150 0.5974  2 N 2.23-2.49
46 Dy 0.9133 0.2983 0.3159  2 N 2.23-2.49
47 Dy 0.9824 0.6841 0.0974  2 N 2.23-2.49
48 Dy 0.9824 0.7983 0.8850  2 N 2.23-2.49
49 Au 0.1250 0.2500 0.3750  8 Dy 3.01-3.11
50 Au 0.1250 0.3750 0.7500  8 Dy 3.01-3.11
51 Au 0.2500 0.3750 0.1250  8 Dy 3.01-3.11
52 Au 0.2500 0.8750 0.6250  8 Dy 3.01-3.11
53 Au 0.3750 0.1250 0.2500  8 Dy 3.01-3.11
54 Au 0.3750 0.7500 0.1250  8 Dy 3.01-3.11
55 Au 0.6250 0.2500 0.8750  8 Dy 3.01-3.11
56 Au 0.6250 0.8750 0.7500  8 Dy 3.01-3.11
57 Au 0.7500 0.1250 0.3750  8 Dy 3.01-3.11
58 Au 0.7500 0.6250 0.8750  8 Dy 3.01-3.11
59 Au 0.8750 0.6250 0.2500  8 Dy 3.01-3.11
60 Au 0.8750 0.7500 0.6250  8 Dy 3.01-3.11
61 N 0.0000 0.0000 0.0000  6 Dy 2.49
62 N 0.0000 0.0000 0.5000  6 Dy 2.49
63 N 0.0000 0.5000 0.0000  6 Dy 2.49
64 N 0.0000 0.5000 0.5000  6 Dy 2.49
65 N 0.1250 0.7500 0.8750  4 Dy 2.23
66 N 0.1250 0.8750 0.2500  4 Dy 2.23
67 N 0.2500 0.1250 0.8750  4 Dy 2.23
68 N 0.2500 0.6250 0.3750  4 Dy 2.23
69 N 0.3750 0.2500 0.6250  4 Dy 2.23
70 N 0.3750 0.6250 0.7500  4 Dy 2.23
71 N 0.5000 0.0000 0.0000  6 Dy 2.49
72 N 0.5000 0.0000 0.5000  6 Dy 2.49
73 N 0.5000 0.5000 0.0000  6 Dy 2.49
74 N 0.5000 0.5000 0.5000  6 Dy 2.49
75 N 0.6250 0.3750 0.2500  4 Dy 2.23
76 N 0.6250 0.7500 0.3750  4 Dy 2.23
77 N 0.7500 0.3750 0.6250  4 Dy 2.23
78 N 0.7500 0.8750 0.1250  4 Dy 2.23
79 N 0.8750 0.1250 0.7500  4 Dy 2.23
80 N 0.8750 0.2500 0.1250  4 Dy 2.23

Calculated values
- E_form (uncorrected) (eV/atom) = -0.960
- V (Å³/cell) = 1822.67
- SG = Ia-3d
- total magnetization (μB per atom) = 0.000


8.
Here is Dy6Au2N after structural relaxation from the Alexandria database. Energies are from PBE.

a b c (Å): 6.6471 6.9408 11.6506
angles (deg): 90.00 124.28 90.00
Last column: nearest neighbours and their distance in Å.
Atoms (fractional coordinates):
1 Dy 0.1395 0.0204 0.2423  1 N 2.43
2 Dy 0.1395 0.4796 0.7423  1 N 2.43
3 Dy 0.2471 0.7130 0.0512  1 N 2.43
4 Dy 0.2471 0.7870 0.5512  1 N 2.43
5 Dy 0.3418 0.1999 0.0519  1 N 2.43
6 Dy 0.3418 0.3001 0.5519  1 N 2.43
7 Dy 0.6582 0.6999 0.4481  1 N 2.43
8 Dy 0.6582 0.8001 0.9481  1 N 2.43
9 Dy 0.7529 0.2130 0.4488  1 N 2.43
10 Dy 0.7529 0.2870 0.9488  1 N 2.43
11 Dy 0.8605 0.5204 0.2577  1 N 2.43
12 Dy 0.8605 0.9796 0.7577  1 N 2.43
13 Au 0.2797 0.0660 0.7503  6 Dy 2.90-3.07
14 Au 0.2797 0.4340 0.2503  6 Dy 2.90-3.07
15 Au 0.7203 0.5660 0.7497  6 Dy 2.90-3.07
16 Au 0.7203 0.9340 0.2497  6 Dy 2.90-3.07
17 N 0.0000 0.0000 0.0000  6 Dy 2.43
18 N 0.0000 0.5000 0.5000  6 Dy 2.43

Calculated values
- E_form (uncorrected) (eV/atom) = -0.782
- V (Å³/cell) = 444.14
- SG = P2_1/c
- total magnetization (μB per atom) = 0.000


9.
Here is NaDy3Au4 after structural relaxation from the Alexandria database. Energies are from PBE.

a b c (Å): 8.7716 8.7716 8.7716
angles (deg): 33.46 33.46 33.46
Last column: nearest neighbours and their distance in Å.
Atoms (fractional coordinates):
1 Na 0.0000 0.0000 0.0000  8 Au 3.13-3.30, 6 Dy 3.50
2 Dy 0.2552 0.2552 0.2552  8 Au 3.02-3.22
3 Dy 0.5000 0.5000 0.5000  8 Au 2.99-3.03
4 Dy 0.7448 0.7448 0.7448  8 Au 3.02-3.22
5 Au 0.1330 0.1330 0.1330  7 Dy 3.03-3.22, 1 Na 3.30, 3 Au 3.36
6 Au 0.3795 0.3795 0.3795  5 Dy 2.99-3.09, 3 Na 3.13
7 Au 0.6205 0.6205 0.6205  5 Dy 2.99-3.09, 3 Na 3.13
8 Au 0.8670 0.8670 0.8670  7 Dy 3.03-3.22, 1 Na 3.30, 3 Au 3.36

Calculated values
- V (Å³/cell) = 182.69
- SG = R-3m
- total magnetization (μB per atom) = 0.000
- ΔE_f (eV/atom) = -0.7430


10.
Here is NaDyAu after structural relaxation from the Alexandria database. Energies are from PBE.

a b c (Å): 4.1427 4.2316 8.6464
angles (deg): 89.90 89.91 89.92
Last column: nearest neighbours and their distance in Å.
Atoms (fractional coordinates):
1 Na 0.2500 0.2500 0.9999  4 Na 2.96, 4 Au 3.26-3.29
2 Na 0.7500 0.7500 0.0001  4 Na 2.96, 4 Au 3.26-3.29
3 Dy 0.2487 0.7498 0.3642  5 Au 2.98-3.03
4 Dy 0.7513 0.2502 0.6358  5 Au 2.98-3.03
5 Au 0.2513 0.7499 0.7089  5 Dy 2.98-3.03, 4 Na 3.26-3.29
6 Au 0.7487 0.2501 0.2911  5 Dy 2.98-3.03, 4 Na 3.26-3.29

Calculated values
- V (Å³/cell) = 151.57
- SG = P-1
- total magnetization (μB per atom) = 0.000
- ΔE_f (eV/atom) = -0.4677